The following is a DFT calculation (GGA-PBE) of PmDyNp after structural relaxation.

The energy of formation from the pure elements is 0.2437 eV/atom. Its crystal system is monoclinic.

Cell lengths 8.631, 8.631, 5.983 Å; angles 101.93, 101.93, 23.74 degrees
Fractional coordinates of all 6 atoms:
1 Pm 0.125 0.125 0.325
2 Pm 0.875 0.875 0.675
3 Dy 0.433 0.433 0.206
4 Dy 0.567 0.567 0.794
5 Np 0.238 0.238 0.864
6 Np 0.762 0.762 0.136

---

The following is a DFT calculation (GGA-PBE) of Ca3In2N4 after structural relaxation.

The total energy is -5.410 eV/atom. Its crystal system is monoclinic.

Cell lengths 7.040, 7.040, 6.008 Å; angles 90.26, 90.26, 76.98 degrees
Fractional coordinates of all 18 atoms:
1 Ca 0.111 0.889 0.750
2 Ca 0.257 0.522 0.053
3 Ca 0.478 0.743 0.447
4 Ca 0.522 0.257 0.553
5 Ca 0.743 0.478 0.947
6 Ca 0.889 0.111 0.250
7 In 0.081 0.321 0.616
8 In 0.321 0.081 0.116
9 In 0.679 0.919 0.884
10 In 0.919 0.679 0.384
11 N 0.054 0.245 0.962
12 N 0.229 0.556 0.506
13 N 0.245 0.054 0.462
14 N 0.444 0.771 0.994
15 N 0.556 0.229 0.006
16 N 0.755 0.946 0.538
17 N 0.771 0.444 0.494
18 N 0.946 0.755 0.038

---

Question: Which formula does entry 1 have?
Answer: PmDyNp